# 1
A relaxed CeZrCoRu crystal. Source: Alexandria, functional PBE-GGA.

a = 4.696 Å, b = 4.696 Å, c = 4.696 Å
α = 60.00°, β = 60.00°, γ = 60.00°
Element x y z (fractional)
Co: 0.500 0.500 0.500
Ru: 0.000 0.000 0.000
Zr: 0.750 0.750 0.750
Ce: 0.250 0.250 0.250

Output
* E_form: -0.23 eV per atom
* SG: F-43m, No. 216

# 2
A relaxed BaSb2IrO8 crystal. Source: Alexandria, functional PBE-GGA.

a = 5.166 Å, b = 5.174 Å, c = 7.052 Å
α = 76.97°, β = 77.04°, γ = 76.93°
Element x y z (fractional)
O: 0.344 0.339 0.518
O: 0.753 0.756 0.018
O: 0.247 0.244 0.982
O: 0.816 0.275 0.790
O: 0.727 0.186 0.209
O: 0.273 0.814 0.791
O: 0.184 0.725 0.210
O: 0.656 0.661 0.482
Sb: 0.551 0.551 0.256
Sb: 0.449 0.449 0.744
Ir: 0.000 0.000 0.000
Ba: 0.000 0.000 0.500

Output
* SG: P-1, No. 2
* electronic total energy: -6.194 eV/atom

# 3
A relaxed Tc2HgCl crystal. Source: Alexandria, functional PBE-GGA.

a = 2.980 Å, b = 3.015 Å, c = 8.504 Å
α = 89.65°, β = 90.00°, γ = 90.00°
Element x y z (fractional)
Tc: 0.500 0.498 0.217
Tc: 0.000 0.001 0.043
Cl: 0.000 0.495 0.445
Hg: 0.500 0.505 0.795

Output
* SG: Pm, No. 6
* electronic total energy: -5.660 eV/atom

# 4
A relaxed VZn3Ge crystal. Source: Alexandria, functional PBE-GGA.

a = 4.756 Å, b = 4.756 Å, c = 4.756 Å
α = 90.00°, β = 90.00°, γ = 90.00°
Element x y z (fractional)
Zn: 0.000 0.500 0.000
Zn: 0.500 0.000 0.000
Zn: 0.000 0.000 0.500
V: 0.500 0.500 0.500
Ge: 0.000 0.000 0.000

Output
* E_form: 0.88 eV per atom
* SG: Pm-3m, No. 221

# 5
A relaxed Tb6CePm2Er3 crystal. Source: Alexandria, functional PBE-GGA.

a = 6.171 Å, b = 6.171 Å, c = 11.801 Å
α = 95.00°, β = 95.00°, γ = 120.00°
Element x y z (fractional)
Er: 0.167 0.833 0.500
Er: 0.833 0.167 0.500
Er: 0.500 0.500 0.500
Tb: 0.247 0.247 0.747
Tb: 0.916 0.585 0.747
Tb: 0.753 0.753 0.253
Tb: 0.084 0.415 0.253
Tb: 0.415 0.084 0.253
Tb: 0.585 0.916 0.747
Pm: 0.667 0.333 0.000
Pm: 0.333 0.667 0.000
Ce: 0.000 0.000 0.000

Output
* E_form: 0.04 eV per atom
* SG: C2/m, No. 12

# 6
A relaxed AlNiPb2 crystal. Source: Alexandria, functional PBE-GGA.

a = 4.975 Å, b = 4.958 Å, c = 3.577 Å
α = 90.00°, β = 90.00°, γ = 90.00°
Element x y z (fractional)
Pb: 0.000 0.000 0.000
Pb: 0.500 0.500 0.000
Al: 0.500 0.000 0.500
Ni: 0.000 0.500 0.500

Output
* E_form: 0.38 eV per atom
* SG: Pmmm, No. 47

# 7
A relaxed HfTi3Bi crystal. Source: Alexandria, functional PBE-GGA.

a = 3.656 Å, b = 7.141 Å, c = 9.847 Å
α = 126.00°, β = 100.70°, γ = 90.00°
Element x y z (fractional)
Ti: 0.010 0.770 0.021
Ti: 0.412 0.337 0.824
Ti: 0.192 0.021 0.384
Ti: 0.808 0.979 0.616
Ti: 0.588 0.663 0.176
Ti: 0.990 0.230 0.979
Hf: 0.599 0.155 0.198
Hf: 0.401 0.845 0.802
Bi: 0.191 0.598 0.383
Bi: 0.809 0.402 0.617

Output
* E_form: -0.11 eV per atom
* SG: C2/m, No. 12

# 8
A relaxed Na2Ga4Pt5 crystal. Source: Alexandria, functional PBE-GGA.

a = 5.662 Å, b = 5.659 Å, c = 8.134 Å
α = 79.97°, β = 69.63°, γ = 59.98°
Element x y z (fractional)
Ga: 0.473 0.315 0.740
Ga: 0.213 0.315 0.260
Ga: 0.787 0.685 0.740
Ga: 0.527 0.685 0.260
Na: 0.886 0.000 0.229
Na: 0.114 0.000 0.771
Pt: 0.500 0.500 0.000
Pt: 0.000 0.500 0.000
Pt: 0.250 0.500 0.500
Pt: 0.750 0.500 0.500
Pt: 0.500 0.000 0.000

Output
* E_form: -0.57 eV per atom
* SG: Fmmm, No. 69

# 9
A relaxed LaEr4Tl crystal. Source: Alexandria, functional PBE-GGA.

a = 3.603 Å, b = 3.603 Å, c = 14.161 Å
α = 90.00°, β = 90.00°, γ = 90.00°
Element x y z (fractional)
Tl: 0.500 0.500 0.500
Er: 0.500 0.500 0.182
Er: 0.000 0.000 0.647
Er: 0.000 0.000 0.353
Er: 0.500 0.500 0.818
La: 0.000 0.000 0.000

Output
* E_form: -0.10 eV per atom
* SG: P4/mmm, No. 123

# 10
A relaxed TaInCu crystal. Source: Alexandria, functional PBE-GGA.

a = 6.099 Å, b = 6.099 Å, c = 2.997 Å
α = 75.78°, β = 75.78°, γ = 28.44°
Element x y z (fractional)
In: 0.655 0.655 0.345
Cu: 0.997 0.997 0.003
Ta: 0.348 0.348 0.652

Output
* E_form: 0.12 eV per atom
* SG: I4mm, No. 107

# 11
A relaxed Dy3Y2PuSe6 crystal. Source: Alexandria, functional PBE-GGA.

a = 4.070 Å, b = 8.211 Å, c = 9.148 Å
α = 103.02°, β = 102.85°, γ = 90.00°
Element x y z (fractional)
Se: 0.331 0.916 0.662
Se: 0.669 0.084 0.338
Se: 0.668 0.584 0.336
Se: 0.332 0.416 0.664
Se: 0.001 0.746 0.001
Se: 0.999 0.254 0.999
Dy: 0.165 0.835 0.330
Dy: 0.835 0.165 0.670
Dy: 0.500 0.500 0.000
Pu: 0.500 0.000 0.000
Y: 0.836 0.672 0.673
Y: 0.164 0.328 0.327

Output
* SG: C2/m, No. 12
* electronic total energy: -6.904 eV/atom

# 12
A relaxed LiCa2Zn3Au12 crystal. Source: Alexandria, functional PBE-GGA.

a = 8.056 Å, b = 8.056 Å, c = 8.056 Å
α = 64.62°, β = 64.62°, γ = 64.62°
Element x y z (fractional)
Au: 0.369 0.861 0.861
Au: 0.632 0.632 0.083
Au: 0.139 0.631 0.139
Au: 0.632 0.083 0.632
Au: 0.368 0.368 0.917
Au: 0.083 0.632 0.632
Au: 0.368 0.917 0.368
Au: 0.861 0.861 0.369
Au: 0.861 0.369 0.861
Au: 0.917 0.368 0.368
Au: 0.631 0.139 0.139
Au: 0.139 0.139 0.631
Ca: 0.393 0.393 0.393
Ca: 0.607 0.607 0.607
Zn: 0.500 0.000 0.000
Zn: 0.000 0.000 0.500
Zn: 0.000 0.500 0.000
Li: 0.000 0.000 0.000

Output
* E_form: -0.15 eV per atom
* SG: R-3m, No. 166